The following is a PBE+U calculation of PuCo3Hg3O8 after structural relaxation, from Alexandria via LeMat-Bulk.

Output
The total energy comes out at -5.747 eV per atom. The value obtained for the density of states at the Fermi level is 7.8 states/eV/cell.

Cell: 5.857 5.856 8.418 Å, 110.83 90.00 120.00°
Site moments in Bohr magnetons follow the coordinates.
Atoms (fractional coordinates):
Pu (0.000, 0.000, 0.500)  2.46
Co (0.500, 0.000, 0.500)  0.02
Co (0.500, 0.500, 0.500)  0.02
Co (0.000, 0.500, 0.500)  0.02
Hg (0.000, 0.000, 0.000)  0.00
Hg (0.000, 0.500, 0.000)  0.00
Hg (0.500, 0.500, 0.000)  0.00
O (0.291, 0.581, 0.375)  -0.01
O (0.709, 0.419, 0.625)  -0.01
O (0.777, 0.555, 0.366)  -0.08
O (0.223, 0.445, 0.634)  -0.08
O (0.777, 0.085, 0.366)  -0.08
O (0.223, 0.915, 0.634)  -0.08
O (0.308, 0.085, 0.366)  -0.08
O (0.692, 0.915, 0.634)  -0.08